Computed, not measured: a relaxed Eu2Fe2O5 crystal at the PBE with a Hubbard U level of DFT.

Results
Magnetization in μB/cell: 44.00
DFT total energy in eV for the cell shown: -152.1

Cell: 8.751 8.751 8.751 Å, 53.97 141.94 143.20°
Fractional positions:
Eu 0.019 0.112 0.131
Eu 0.019 0.388 0.407
Eu 0.981 0.612 0.593
Eu 0.981 0.888 0.869
Fe 0.422 0.724 0.198
Fe 0.510 0.010 0.500
Fe 0.510 0.510 0.000
Fe 0.527 0.224 0.802
O 0.013 0.273 0.771
O 0.013 0.742 0.240
O 0.196 0.845 0.851
O 0.471 0.170 0.565
O 0.471 0.405 0.801
O 0.502 0.242 0.229
O 0.502 0.773 0.760
O 0.604 0.670 0.199
O 0.604 0.905 0.435
O 0.994 0.345 0.149